ScCdAu after structural relaxation. Source: Alexandria via LeMat-Bulk, functional GGA-PBEsol.

a b c (Å): 3.563 3.583 5.125
angles (deg): 110.46 110.34 90.00
Atoms (fractional coordinates):
Sc 0.339 0.339 0.677
Cd 0.663 0.663 0.326
Au 0.998 0.998 0.997

Properties
SG: Imm2
energy: -4.438 eV/atom
energy relative to the elements: -1.59 eV per formula unit